Computed, not measured: a geometry-optimized RbBiSe2N structure at the GGA-PBE level of DFT.

Values from the calculation:
SG   P4/mmm (123)
E_form (uncorrected)   1.688 eV per formula unit
E   -3.69 eV per atom

Cell lengths 5.6504, 5.6504, 4.7871 Å; angles 90.00, 90.00, 90.00 degrees
Last column: nearest neighbours and their distance in Å.
Fractional positions:
Rb1 0.0000 0.0000 0.0000  8 Se 3.70, 4 N 4.00
Bi1 0.5000 0.5000 0.5000  2 N 2.39
Se1 0.0000 0.5000 0.5000  2 Bi 2.83
Se2 0.5000 0.0000 0.5000  2 Bi 2.83
N1 0.5000 0.5000 0.0000  2 Bi 2.39

Computed, not measured: a geometry-optimized RbBiTeN2 structure at the GGA-PBE level of DFT.

Values from the calculation:
SG   P4/mmm (123)
E_form (uncorrected)   9.886 eV per formula unit
E   -2.95 eV per atom

Cell lengths 5.0477, 5.0477, 7.2779 Å; angles 90.00, 90.00, 90.00 degrees
Last column: nearest neighbours and their distance in Å.
Fractional positions:
Rb1 0.0000 0.0000 0.0000  4 N 2.52
Bi1 0.5000 0.5000 0.5000  4 Te 3.57
Te1 0.0000 0.0000 0.5000  4 Bi 3.57, 2 Rb 3.64
N1 0.0000 0.5000 0.0000  2 Rb 2.52
N2 0.5000 0.0000 0.0000  2 Rb 2.52

Computed, not measured: a geometry-optimized RbBiTeN2 structure at the GGA-PBE level of DFT.

Values from the calculation:
SG   P4/mmm (123)
E_form (uncorrected)   5.493 eV per formula unit
E   -3.83 eV per atom

Cell lengths 4.9243, 4.9243, 6.1117 Å; angles 90.00, 90.00, 90.00 degrees
Last column: nearest neighbours and their distance in Å.
Fractional positions:
Rb1 0.0000 0.0000 0.0000  4 Te 3.48
Bi1 0.5000 0.5000 0.5000  4 N 2.46
Te1 0.5000 0.5000 0.0000  2 Bi 3.06
N1 0.0000 0.5000 0.5000  2 Bi 2.46
N2 0.5000 0.0000 0.5000  2 Bi 2.46

Computed, not measured: a geometry-optimized RbTlBiN2 structure at the GGA-PBE level of DFT.

Values from the calculation:
SG   P4/mmm (123)
E_form (uncorrected)   9.641 eV per formula unit
E   -2.84 eV per atom

Cell lengths 4.6783, 4.6783, 5.8980 Å; angles 90.00, 90.00, 90.00 degrees
Last column: nearest neighbours and their distance in Å.
Fractional positions:
Rb1 0.0000 0.0000 0.0000  2 Tl 2.95
Tl1 0.0000 0.0000 0.5000  4 N 2.34
Bi1 0.5000 0.5000 0.0000  4 Rb 3.31
N1 0.0000 0.5000 0.5000  2 Tl 2.34
N2 0.5000 0.0000 0.5000  2 Tl 2.34

Computed, not measured: a geometry-optimized Rb2ZrBiN structure at the GGA-PBE level of DFT.

Values from the calculation:
SG   P4/mmm (123)
E_form (uncorrected)   7.843 eV per formula unit
E   -2.97 eV per atom

Cell lengths 7.2920, 7.2920, 5.5600 Å; angles 90.00, 90.00, 90.00 degrees
Last column: nearest neighbours and their distance in Å.
Fractional positions:
Rb1 0.0000 0.5000 0.0000  2 Zr 3.65
Rb2 0.5000 0.0000 0.0000  2 Zr 3.65
Zr1 0.0000 0.0000 0.0000  2 Bi 2.78
Bi1 0.0000 0.0000 0.5000  2 Zr 2.78
N1 0.5000 0.5000 0.5000  8 Rb 4.58

Computed, not measured: a geometry-optimized ReBi2N structure at the GGA-PBE level of DFT.

Values from the calculation:
SG   I-42d (122)
E_form (uncorrected)   5.331 eV per formula unit
E   -5.80 eV per atom

Cell lengths 6.7913, 6.7913, 6.7913 Å; angles 127.81, 127.81, 76.93 degrees
Last column: nearest neighbours and their distance in Å.
Fractional positions:
Re1 0.0000 0.0000 0.0000  4 Bi 2.66
Re2 0.7500 0.2500 0.5000  4 Bi 2.66
Bi1 0.1695 0.6250 0.0445  2 N 2.35
Bi2 0.3750 0.4195 0.5445  2 N 2.35
Bi3 0.5805 0.1250 0.9555  2 N 2.35
Bi4 0.8750 0.8305 0.4555  2 N 2.35
N1 0.2500 0.7500 0.5000  4 Bi 2.35
N2 0.5000 0.5000 0.0000  4 Bi 2.35

Computed, not measured: a geometry-optimized Re5Bi3N12 structure at the GGA-PBE level of DFT.

Values from the calculation:
SG   Ia-3d (230)
E_form (uncorrected)   6.074 eV per formula unit
E   -8.39 eV per atom

Cell lengths 11.2710, 11.2710, 11.2710 Å; angles 109.47, 109.47, 109.47 degrees
Last column: nearest neighbours and their distance in Å.
Fractional positions:
Re1 0.0000 0.0000 0.0000  6 N 2.04
Re2 0.0000 0.0000 0.5000  6 N 2.04
Re3 0.0000 0.5000 0.0000  6 N 2.04
Re4 0.0000 0.5000 0.5000  6 N 2.04
Re5 0.1250 0.7500 0.8750  4 N 1.87
Re6 0.1250 0.8750 0.2500  4 N 1.87
Re7 0.2500 0.1250 0.8750  4 N 1.87
Re8 0.2500 0.6250 0.3750  4 N 1.87
Re9 0.3750 0.2500 0.6250  4 N 1.87
Re10 0.3750 0.6250 0.7500  4 N 1.87
Re11 0.5000 0.0000 0.0000  6 N 2.04
Re12 0.5000 0.0000 0.5000  6 N 2.04
Re13 0.5000 0.5000 0.0000  6 N 2.04
Re14 0.5000 0.5000 0.5000  6 N 2.04
Re15 0.6250 0.3750 0.2500  4 N 1.87
Re16 0.6250 0.7500 0.3750  4 N 1.87
Re17 0.7500 0.3750 0.6250  4 N 1.87
Re18 0.7500 0.8750 0.1250  4 N 1.87
Re19 0.8750 0.1250 0.7500  4 N 1.87
Re20 0.8750 0.2500 0.1250  4 N 1.87
Bi1 0.1250 0.2500 0.3750  8 N 2.52-2.77
Bi2 0.1250 0.3750 0.7500  8 N 2.52-2.77
Bi3 0.2500 0.3750 0.1250  8 N 2.52-2.77
Bi4 0.2500 0.8750 0.6250  8 N 2.52-2.77
Bi5 0.3750 0.1250 0.2500  8 N 2.52-2.77
Bi6 0.3750 0.7500 0.1250  8 N 2.52-2.77
Bi7 0.6250 0.2500 0.8750  8 N 2.52-2.77
Bi8 0.6250 0.8750 0.7500  8 N 2.52-2.77
Bi9 0.7500 0.1250 0.3750  8 N 2.52-2.77
Bi10 0.7500 0.6250 0.8750  8 N 2.52-2.77
Bi11 0.8750 0.6250 0.2500  8 N 2.52-2.77
Bi12 0.8750 0.7500 0.6250  8 N 2.52-2.77
N1 0.0072 0.1884 0.1130  2 Re 1.87-2.04
N2 0.0072 0.3188 0.8942  2 Re 1.87-2.04
N3 0.0754 0.6884 0.6812  2 Re 1.87-2.04
N4 0.0754 0.8870 0.3942  2 Re 1.87-2.04
N5 0.1058 0.6130 0.4246  2 Re 1.87-2.04
N6 0.1058 0.9928 0.6812  2 Re 1.87-2.04
N7 0.1130 0.0072 0.1884  2 Re 1.87-2.04
N8 0.1130 0.6058 0.9246  2 Re 1.87-2.04
N9 0.1812 0.1884 0.5754  2 Re 1.87-2.04
N10 0.1812 0.4928 0.6058  2 Re 1.87-2.04
N11 0.1884 0.1130 0.0072  2 Re 1.87-2.04
N12 0.1884 0.5754 0.1812  2 Re 1.87-2.04
N13 0.3116 0.3188 0.9246  2 Re 1.87-2.04
N14 0.3116 0.4928 0.3870  2 Re 1.87-2.04
N15 0.3188 0.8942 0.0072  2 Re 1.87-2.04
N16 0.3188 0.9246 0.3116  2 Re 1.87-2.04
N17 0.3870 0.3116 0.4928  2 Re 1.87-2.04
N18 0.3870 0.5754 0.8942  2 Re 1.87-2.04
N19 0.3942 0.0754 0.8870  2 Re 1.87-2.04
N20 0.3942 0.8188 0.5072  2 Re 1.87-2.04
N21 0.4246 0.1058 0.6130  2 Re 1.87-2.04
N22 0.4246 0.8188 0.8116  2 Re 1.87-2.04
N23 0.4928 0.3870 0.3116  2 Re 1.87-2.04
N24 0.4928 0.6058 0.1812  2 Re 1.87-2.04
N25 0.5072 0.3942 0.8188  2 Re 1.87-2.04
N26 0.5072 0.6130 0.6884  2 Re 1.87-2.04
N27 0.5754 0.1812 0.1884  2 Re 1.87-2.04
N28 0.5754 0.8942 0.3870  2 Re 1.87-2.04
N29 0.6058 0.1812 0.4928  2 Re 1.87-2.04
N30 0.6058 0.9246 0.1130  2 Re 1.87-2.04
N31 0.6130 0.4246 0.1058  2 Re 1.87-2.04
N32 0.6130 0.6884 0.5072  2 Re 1.87-2.04
N33 0.6812 0.0754 0.6884  2 Re 1.87-2.04
N34 0.6812 0.1058 0.9928  2 Re 1.87-2.04
N35 0.6884 0.5072 0.6130  2 Re 1.87-2.04
N36 0.6884 0.6812 0.0754  2 Re 1.87-2.04
N37 0.8116 0.4246 0.8188  2 Re 1.87-2.04
N38 0.8116 0.8870 0.9928  2 Re 1.87-2.04
N39 0.8188 0.5072 0.3942  2 Re 1.87-2.04
N40 0.8188 0.8116 0.4246  2 Re 1.87-2.04
N41 0.8870 0.3942 0.0754  2 Re 1.87-2.04
N42 0.8870 0.9928 0.8116  2 Re 1.87-2.04
N43 0.8942 0.0072 0.3188  2 Re 1.87-2.04
N44 0.8942 0.3870 0.5754  2 Re 1.87-2.04
N45 0.9246 0.1130 0.6058  2 Re 1.87-2.04
N46 0.9246 0.3116 0.3188  2 Re 1.87-2.04
N47 0.9928 0.6812 0.1058  2 Re 1.87-2.04
N48 0.9928 0.8116 0.8870  2 Re 1.87-2.04

Computed, not measured: a geometry-optimized Re2BiN structure at the GGA-PBE level of DFT.

Values from the calculation:
SG   I-42d (122)
E_form (uncorrected)   3.328 eV per formula unit
E   -8.44 eV per atom

Cell lengths 7.0723, 7.0723, 7.0723 Å; angles 139.27, 139.27, 58.97 degrees
Last column: nearest neighbours and their distance in Å.
Fractional positions:
Re1 0.3750 0.2199 0.3449  2 N 2.03
Re2 0.7801 0.1250 0.1551  2 N 2.03
Re3 0.8750 0.0301 0.6551  2 N 2.03
Re4 0.9699 0.6250 0.8449  2 N 2.03
Bi1 0.2500 0.7500 0.5000  4 Re 2.80
Bi2 0.5000 0.5000 0.0000  4 Re 2.80
N1 0.0000 0.0000 0.0000  4 Re 2.03
N2 0.7500 0.2500 0.5000  4 Re 2.03

Which value of E_form (uncorrected) does entry 5 give? 7.843 eV per formula unit

The lowest E belongs to which entry? Re2BiN

Which value of E_form (uncorrected) does entry 8 give? 3.328 eV per formula unit

Look up the E of the seventh one. -8.39 eV per atom